[1]
# In2FePd

In2FePd after structural relaxation (PBE, OQMD).

Lattice parameters (Å, degrees): 6.4999 6.4999 6.4999 90.00 90.00 90.00
Space group F-43m (No. 216)
Symmetry-distinct sites (fractional):
1 In 0.0000 0.0000 0.0000 x4
2 In 0.2500 0.2500 0.2500 x4
3 Fe 0.0000 0.0000 0.5000 x4
4 Pd 0.2500 0.2500 0.7500 x4

Computed properties:
Spin magnetization in μB/cell: 10.7
Total DFT energy (no corrections) in Ha/atom: -0.168

=====

[2]
# InFePd

InFePd after structural relaxation (PBE, OQMD).

Lattice parameters (Å, degrees): 6.1267 6.1267 6.1267 90.00 90.00 90.00
Space group F-43m (No. 216)
Symmetry-distinct sites (fractional):
1 In 0.0000 0.0000 0.0000 x4
2 Fe 0.0000 0.0000 0.5000 x4
3 Pd 0.2500 0.2500 0.7500 x4

Computed properties:
Spin magnetization in μB/cell: 12.0
Total DFT energy (no corrections) in Ha/atom: -0.196

=====

[3]
# InFePdPt

InFePdPt after structural relaxation (PBE, OQMD).

Lattice parameters (Å, degrees): 6.3422 6.3422 6.3422 90.00 90.00 90.00
Space group F-43m (No. 216)
Symmetry-distinct sites (fractional):
1 In 0.0000 0.0000 0.0000 x4
2 Fe 0.2500 0.2500 0.2500 x4
3 Pd 0.2500 0.2500 0.7500 x4
4 Pt 0.0000 0.0000 0.5000 x4

Computed properties:
Spin magnetization in μB/cell: 11.4
Total DFT energy (no corrections) in Ha/atom: -0.211
Energy relative to the lowest polymorph listed for this composition in eV/atom: 0.000

=====

[4]
# InFeRePd

InFeRePd after structural relaxation (PBE, OQMD).

Lattice parameters (Å, degrees): 6.2882 6.2882 6.2882 90.00 90.00 90.00
Space group F-43m (No. 216)
Symmetry-distinct sites (fractional):
1 In 0.0000 0.0000 0.0000 x4
2 Fe 0.2500 0.2500 0.2500 x4
3 Re 0.0000 0.0000 0.5000 x4
4 Pd 0.2500 0.2500 0.7500 x4

Computed properties:
Spin magnetization in μB/cell: 12.9
Total DFT energy (no corrections) in Ha/atom: -0.250
Energy relative to the lowest polymorph listed for this composition in eV/atom: 0.000

=====

[5]
# ScInFePd

ScInFePd after structural relaxation (PBE, OQMD).

Lattice parameters (Å, degrees): 6.4726 6.4726 6.4726 90.00 90.00 90.00
Space group F-43m (No. 216)
Symmetry-distinct sites (fractional):
1 Sc 0.0000 0.0000 0.0000 x4
2 In 0.0000 0.0000 0.5000 x4
3 Fe 0.2500 0.2500 0.7500 x4
4 Pd 0.2500 0.2500 0.2500 x4

Computed properties:
Spin magnetization in μB/cell: 6.9
Total DFT energy (no corrections) in Ha/atom: -0.220
Energy relative to the lowest polymorph listed for this composition in eV/atom: 0.000

=====

[6]
# ScInFePd

ScInFePd after structural relaxation (PBE, OQMD).

Lattice parameters (Å, degrees): 6.4716 6.4716 6.4716 90.00 90.00 90.00
Space group F-43m (No. 216)
Symmetry-distinct sites (fractional):
1 Sc 0.0000 0.0000 0.0000 x4
2 In 0.2500 0.2500 0.2500 x4
3 Fe 0.0000 0.0000 0.5000 x4
4 Pd 0.2500 0.2500 0.7500 x4

Computed properties:
Spin magnetization in μB/cell: 10.1
Total DFT energy (no corrections) in Ha/atom: -0.214
Energy relative to the lowest polymorph listed for this composition in eV/atom: 0.176

=====

[7]
# Sr2In4FePd

Sr2In4FePd after structural relaxation (PBE, OQMD).

Lattice parameters (Å, degrees): 7.9283 4.4863 11.2910 90.00 90.00 90.00
Space group Amm2 (No. 38)
Symmetry-distinct sites (fractional):
1 Sr 0.0000 0.0000 0.0000 x2
2 Sr 0.5000 0.0000 0.1175 x2
3 In 0.1915 0.0000 0.7101 x4
4 In 0.3000 0.0000 0.4025 x4
5 Fe 0.0000 0.0000 0.2782 x2
6 Pd 0.5000 0.0000 0.8382 x2

Computed properties:
Spin magnetization in μB/cell: 4.5
Total DFT energy (no corrections) in Ha/atom: -0.140

=====

[8]
# InFeTcPd

InFeTcPd after structural relaxation (PBE, OQMD).

Lattice parameters (Å, degrees): 6.3100 6.3100 6.3100 90.00 90.00 90.00
Space group F-43m (No. 216)
Symmetry-distinct sites (fractional):
1 In 0.0000 0.0000 0.0000 x4
2 Fe 0.2500 0.2500 0.2500 x4
3 Tc 0.0000 0.0000 0.5000 x4
4 Pd 0.2500 0.2500 0.7500 x4

Computed properties:
Spin magnetization in μB/cell: 15.4
Total DFT energy (no corrections) in Ha/atom: -0.237
Energy relative to the lowest polymorph listed for this composition in eV/atom: 0.000

=====

[9]
# YInFePd

YInFePd after structural relaxation (PBE, OQMD).

Lattice parameters (Å, degrees): 6.6277 6.6277 6.6277 90.00 90.00 90.00
Space group F-43m (No. 216)
Symmetry-distinct sites (fractional):
1 Y 0.0000 0.0000 0.0000 x4
2 In 0.0000 0.0000 0.5000 x4
3 Fe 0.2500 0.2500 0.7500 x4
4 Pd 0.2500 0.2500 0.2500 x4

Computed properties:
Spin magnetization in μB/cell: 8.4
Total DFT energy (no corrections) in Ha/atom: -0.218
Energy relative to the lowest polymorph listed for this composition in eV/atom: 0.000

=====

[10]
# YInFePd

YInFePd after structural relaxation (PBE, OQMD).

Lattice parameters (Å, degrees): 6.7175 6.7175 6.7175 90.00 90.00 90.00
Space group F-43m (No. 216)
Symmetry-distinct sites (fractional):
1 Y 0.0000 0.0000 0.0000 x4
2 In 0.2500 0.2500 0.2500 x4
3 Fe 0.0000 0.0000 0.5000 x4
4 Pd 0.2500 0.2500 0.7500 x4

Computed properties:
Spin magnetization in μB/cell: 10.8
Total DFT energy (no corrections) in Ha/atom: -0.212
Energy relative to the lowest polymorph listed for this composition in eV/atom: 0.167

=====

[11]
# ZnInFePd

ZnInFePd after structural relaxation (PBE, OQMD).

Lattice parameters (Å, degrees): 6.3029 6.3029 6.3029 90.00 90.00 90.00
Space group F-43m (No. 216)
Symmetry-distinct sites (fractional):
1 Zn 0.0000 0.0000 0.0000 x4
2 In 0.0000 0.0000 0.5000 x4
3 Fe 0.2500 0.2500 0.7500 x4
4 Pd 0.2500 0.2500 0.2500 x4

Computed properties:
Spin magnetization in μB/cell: 9.2
Total DFT energy (no corrections) in Ha/atom: -0.164
Energy relative to the lowest polymorph listed for this composition in eV/atom: 0.000

=====

[12]
# PrInFe

PrInFe after structural relaxation (PBE, OQMD).

Lattice parameters (Å, degrees): 6.7013 6.7013 6.7013 90.00 90.00 90.00
Space group F-43m (No. 216)
Symmetry-distinct sites (fractional):
1 Pr 0.0000 0.0000 0.0000 x4
2 In 0.0000 0.0000 0.5000 x4
3 Fe 0.2500 0.2500 0.7500 x4

Computed properties:
Spin magnetization in μB/cell: 8.1
Total DFT energy (no corrections) in Ha/atom: -0.187

=====

- Which of these has the lowest spin magnetization?
  Sr2In4FePd